1.
Computed, not measured: a geometry-optimized TlTeBr structure at the PBE level of DFT.

Cell and atoms, written as POSCAR:
```
TlTeBr
1.0
0.0000 3.7611 3.7611
3.7611 0.0000 3.7611
3.7611 3.7611 0.0000
Tl Te Br
1 1 1
Cartesian
0.0000 0.0000 0.0000
1.8805 1.8805 1.8805
3.7611 3.7611 3.7611
```

Results
ρ: 6.428 g/cm3
energy relative to the elements, uncorrected: -78 meV/atom
M_tot: 0.0 μB per formula unit

***

2.
Computed, not measured: a geometry-optimized Tl8TeBr6 structure at the PBE level of DFT.

Cell and atoms, written as POSCAR:
```
Tl8TeBr6
1.0
6.9192 3.9948 3.4938
-6.9192 3.9948 3.4938
0.0000 -7.9896 3.4938
Tl Te Br
8 1 6
Cartesian
-3.0817 0.6595 3.6877
0.0000 0.0000 1.8380
0.9697 -2.9985 3.6877
-2.1120 -2.3390 6.7936
2.1120 2.3391 3.6877
-0.9697 2.9985 6.7936
0.0000 0.0000 8.6434
3.0817 -0.6595 6.7936
0.0000 0.0000 5.2407
-4.8044 -1.6028 5.2026
-1.0141 -4.9621 5.2787
-3.7903 3.3593 5.2787
3.7903 -3.3593 5.2026
1.0141 4.9621 5.2026
4.8044 1.6028 5.2787
```

Results
ρ: 6.426 g/cm3
energy relative to the elements, uncorrected: -694 meV/atom
M_tot: 0.0 μB per formula unit

***

3.
Computed, not measured: a geometry-optimized TlTe2Br structure at the PBE level of DFT.

Cell and atoms, written as POSCAR:
```
TlTe2Br
1.0
3.8476 0.0000 0.0000
0.0000 4.7238 0.0000
-1.3937 0.0000 8.4767
Tl Te Br
1 2 1
Cartesian
0.0000 0.0000 0.0000
0.4838 0.0000 4.0046
0.4507 2.3619 5.4833
1.9363 2.3619 1.1531
```

Results
offset from the most stable computed form: 63 meV/atom
ρ: 5.815 g/cm3
energy relative to the elements, uncorrected: -258 meV/atom
M_tot: 0.0 μB per formula unit

***

4.
Computed, not measured: a geometry-optimized Tl2Te2Br structure at the PBE level of DFT.

Cell and atoms, written as POSCAR:
```
Tl2Te2Br
1.0
-2.2091 2.2091 9.1336
2.2091 -2.2091 9.1336
2.2091 2.2091 -9.1336
Tl Te Br
2 2 1
Cartesian
0.0000 0.0000 1.7579
0.0000 0.0000 16.5093
2.2091 0.0000 4.5668
0.0000 2.2091 4.5668
0.0000 0.0000 9.1336
```

Results
offset from the most stable computed form: 0 meV/atom
ρ: 6.928 g/cm3
energy relative to the elements, uncorrected: -424 meV/atom
M_tot: 0.0 μB per formula unit

***

5.
Computed, not measured: a geometry-optimized TlTe2Br structure at the PBE level of DFT.

Cell and atoms, written as POSCAR:
```
TlTe2Br
1.0
-3.9030 3.9030 5.2772
3.9030 -3.9030 5.2772
3.9030 3.9030 -5.2772
Tl Te Br
2 4 2
Cartesian
0.0000 0.0000 0.0000
0.0000 3.9030 2.6386
5.8545 1.7727 -1.3193
1.7727 1.9515 1.3193
-1.9515 2.1303 3.9579
2.1303 1.9515 6.5965
3.9030 0.0000 2.6386
0.0000 0.0000 5.2772
```

Results
offset from the most stable computed form: 518 meV/atom
ρ: 5.572 g/cm3
energy relative to the elements, uncorrected: 197 meV/atom
M_tot: 0.0 μB per formula unit

***

6.
Computed, not measured: a geometry-optimized TlTeBr structure at the PBE level of DFT.

Cell and atoms, written as POSCAR:
```
TlTeBr
1.0
-2.3424 2.3489 5.2998
2.3424 -2.3489 5.2998
2.3424 2.3489 -5.2998
Tl Te Br
1 1 1
Cartesian
0.0000 0.0000 0.0000
0.0000 0.0000 4.3611
0.0000 0.0000 6.9573
```

Results
ρ: 5.864 g/cm3
energy relative to the elements, uncorrected: -194 meV/atom
M_tot: 0.0 μB per formula unit

***

7.
Computed, not measured: a geometry-optimized Tl3TeBr structure at the PBE level of DFT.

Cell and atoms, written as POSCAR:
```
Tl3TeBr
1.0
7.0555 0.0000 0.0000
2.5640 6.8768 0.0000
2.4420 1.6025 7.6360
Tl Te Br
6 2 2
Cartesian
2.4860 3.0595 1.9521
6.9043 7.6833 7.2547
5.8757 6.5186 3.3978
6.1858 1.9608 4.2382
5.1571 0.7960 0.3814
9.5755 5.4198 5.6839
2.1831 2.2764 5.2798
9.8783 6.2029 2.3563
5.6958 4.9012 6.1455
6.3656 3.5781 1.4905
```

Results
offset from the most stable computed form: 0 meV/atom
ρ: 7.356 g/cm3
energy relative to the elements, uncorrected: -485 meV/atom
M_tot: 0.0 μB per formula unit

***

8.
Computed, not measured: a geometry-optimized TlTe2Br structure at the PBE level of DFT.

Cell and atoms, written as POSCAR:
```
TlTe2Br
1.0
0.0000 3.8674 3.8674
3.8674 0.0000 3.8674
3.8674 3.8674 0.0000
Tl Te Br
1 2 1
Cartesian
0.0000 0.0000 0.0000
1.9337 1.9337 1.9337
5.8011 5.8011 5.8011
3.8674 3.8674 3.8674
```

Results
offset from the most stable computed form: 571 meV/atom
ρ: 7.744 g/cm3
energy relative to the elements, uncorrected: 250 meV/atom
M_tot: 0.0 μB per formula unit

***

9.
Computed, not measured: a geometry-optimized Tl2Te3Br8 structure at the PBE level of DFT.

Cell and atoms, written as POSCAR:
```
Tl2Te3Br8
1.0
7.0306 -3.8397 0.0000
7.0306 3.8397 0.0000
-0.0279 0.0000 9.9316
Tl Te Br
2 3 8
Cartesian
2.7151 0.0000 3.6879
11.3182 0.0000 6.2437
7.0306 1.3665 0.0000
7.0167 0.0000 4.9658
7.0306 -1.3665 0.0000
1.7732 0.0000 0.7642
5.5312 1.9045 3.7016
8.5021 1.9045 6.2300
5.1447 0.0000 8.1365
8.8886 0.0000 1.7951
5.5312 -1.9045 3.7016
8.5021 -1.9045 6.2300
12.2601 0.0000 9.1674
```

Results
ρ: 4.431 g/cm3
energy relative to the elements, uncorrected: -316 meV/atom
M_tot: 1.9 μB per formula unit

***

10.
Computed, not measured: a geometry-optimized Tl3TeBr6 structure at the PBE level of DFT.

Cell and atoms, written as POSCAR:
```
Tl3TeBr6
1.0
7.6959 0.0000 0.0000
0.0000 8.2855 0.0000
-6.4172 0.0000 12.4079
Tl Te Br
6 2 12
Cartesian
0.0000 0.0000 0.0000
-3.2086 4.1427 6.2040
-2.7938 0.7937 9.6026
0.4148 3.3491 3.3987
0.8639 4.9364 9.0093
4.0725 7.4918 2.8053
0.6393 0.0000 6.2040
3.8480 4.1427 0.0000
-0.6825 0.3381 3.1175
-3.8911 3.8046 9.3215
1.6501 5.4692 0.9495
-1.5585 6.9590 7.1534
2.7375 1.7316 0.6715
-0.4711 2.4112 6.8755
1.7498 5.8743 5.5324
-1.4588 6.5539 11.7364
2.8372 1.3265 5.2545
-0.3714 2.8163 11.4585
5.1698 4.4809 3.0864
1.9612 7.9473 9.2904
```

Results
ρ: 5.122 g/cm3
energy relative to the elements, uncorrected: -603 meV/atom
M_tot: 1.0 μB per formula unit

***

11.
Computed, not measured: a geometry-optimized TlTe2Br structure at the PBE level of DFT.

Cell and atoms, written as POSCAR:
```
TlTe2Br
1.0
3.1801 0.0000 0.0000
0.0000 7.0947 0.0000
-0.2100 0.0000 6.0215
Tl Te Br
1 2 1
Cartesian
0.0000 0.0000 0.0000
1.3102 3.5473 4.5680
1.6600 3.5473 1.4536
1.4851 0.0000 3.0108
```

Results
offset from the most stable computed form: 209 meV/atom
ρ: 6.594 g/cm3
energy relative to the elements, uncorrected: -112 meV/atom
M_tot: 0.0 μB per formula unit

***

12.
Computed, not measured: a geometry-optimized TlTe2Br structure at the PBE level of DFT.

Cell and atoms, written as POSCAR:
```
TlTe2Br
1.0
4.1208 0.0000 0.0000
0.0000 4.1208 0.0000
0.0000 0.0000 8.9991
Tl Te Br
1 2 1
Cartesian
0.0000 0.0000 0.0000
0.0000 0.0000 4.7442
2.0604 2.0604 5.6125
2.0604 2.0604 1.3275
```

Results
offset from the most stable computed form: 1 meV/atom
ρ: 5.862 g/cm3
energy relative to the elements, uncorrected: -320 meV/atom
M_tot: 0.0 μB per formula unit